The following is a DFT calculation (PBE) of a relaxed AlCrTcC2 crystal.

Values from the calculation:
V ... 15.6 Å³/atom
Total DFT energy (no corrections) ... -0.255 Ha/atom
Size of the total moment ... 4.382 μB per formula unit
DOS at the Fermi energy ... 3.0 states/eV per cell

Unit cell a=3.996 b=3.996 c=4.878 alpha=90.00 beta=90.00 gamma=90.00
Space group P4/mmm (No. 123)
Inequivalent atoms, fractional coordinates:
Al 0.000 0.000 0.000 [1 per cell]
Cr 0.500 0.500 0.000 [1 per cell]
Tc 0.000 0.000 0.500 [1 per cell]
C 0.000 0.500 0.500 [2 per cell]



The following is a DFT calculation (PBE) of a relaxed Ti2AlCrC crystal.

Values from the calculation:
V ... 13.5 Å³/atom
Total DFT energy (no corrections) ... -0.297 Ha/atom
Size of the total moment ... 0.001 μB per formula unit
DOS at the Fermi energy ... 3.6 states/eV per cell

Unit cell a=4.223 b=4.223 c=3.790 alpha=90.00 beta=90.00 gamma=90.00
Space group P4/mmm (No. 123)
Inequivalent atoms, fractional coordinates:
Ti 0.000 0.500 0.000 [2 per cell]
Al 0.000 0.000 0.500 [1 per cell]
Cr 0.500 0.500 0.500 [1 per cell]
C 0.500 0.500 0.000 [1 per cell]



The following is a DFT calculation (PBE) of a relaxed AlVCrC crystal.

Values from the calculation:
V ... 11.6 Å³/atom
Distance to the lowest polymorph of the same formula ... 0 meV/atom
Total DFT energy (no corrections) ... -0.304 Ha/atom
Size of the total moment ... 0.000 μB per formula unit
DOS at the Fermi energy ... 4.3 states/eV per cell

Unit cell a=2.8815 b=2.8815 c=12.8816 alpha=90.00 beta=90.00 gamma=120.00
Space group P-3m1 (No. 164)
Inequivalent atoms, fractional coordinates:
Al 0.3333 0.6667 0.2426 [2 per cell]
V 0.3333 0.6667 0.5877 [2 per cell]
Cr 0.3333 0.6667 0.9176 [2 per cell]
C 0.0000 0.0000 0.0000 [1 per cell]
C 0.0000 0.0000 0.5000 [1 per cell]



The following is a DFT calculation (PBE) of a relaxed AlVCrC crystal.

Values from the calculation:
V ... 11.6 Å³/atom
Distance to the lowest polymorph of the same formula ... 17 meV/atom
Total DFT energy (no corrections) ... -0.304 Ha/atom
Size of the total moment ... 0.000 μB per formula unit
DOS at the Fermi energy ... 9.6 states/eV per cell

Unit cell a=2.8800 b=2.8800 c=19.3686 alpha=90.00 beta=90.00 gamma=120.00
Space group R3m (No. 160, hexagonal axes)
Inequivalent atoms, fractional coordinates:
Al 0.0000 0.0000 0.0000 [3 per cell]
V 0.0000 0.0000 0.4455 [3 per cell]
Cr 0.0000 0.0000 0.2251 [3 per cell]
C 0.0000 0.0000 0.8376 [3 per cell]